[1]
The following is a PBE calculation of a geometry-optimized LiLaSm2S4 structure, from Alexandria via LeMat-Bulk.

```
data_LiLaSm2S4
_space_group_name_H-M_alt 'P 1 2/m 1'
_space_group_IT_number 10
_cell_length_a 6.913
_cell_length_b 4.023
_cell_length_c 7.028
_cell_angle_alpha 90.00
_cell_angle_beta 109.37
_cell_angle_gamma 90.00
loop_
_space_group_symop_operation_xyz
'x,y,z'
'-x,-y,-z'
'-x,y,-z'
'x,-y,z'
loop_
_atom_site_label
_atom_site_type_symbol
_atom_site_fract_x
_atom_site_fract_y
_atom_site_fract_z
Li1 Li 0.000 0.000 0.000
La1 La 0.500 0.500 0.000
Sm1 Sm 0.000 0.500 0.500
Sm2 Sm 0.500 0.000 0.500
S1 S 0.240 0.000 0.747
S2 S 0.244 0.500 0.250
```



[2]
The following is a PBE calculation of a geometry-optimized Li3LaSm2S6 structure, from Alexandria via LeMat-Bulk.

```
data_Li3LaSm2S6
_space_group_name_H-M_alt 'C 1 2/m 1'
_space_group_IT_number 12
_cell_length_a 7.025
_cell_length_b 12.185
_cell_length_c 6.619
_cell_angle_alpha 90.00
_cell_angle_beta 110.53
_cell_angle_gamma 90.00
loop_
_space_group_symop_operation_xyz
'x,y,z'
'-x,-y,-z'
'-x,y,-z'
'x,-y,z'
'x+1/2,y+1/2,z'
'-x+1/2,-y+1/2,-z'
'-x+1/2,y+1/2,-z'
'x+1/2,-y+1/2,z'
loop_
_atom_site_label
_atom_site_type_symbol
_atom_site_fract_x
_atom_site_fract_y
_atom_site_fract_z
Li1 Li 0.000 0.000 0.000
Li2 Li 0.000 0.326 0.000
La1 La 0.000 0.500 0.500
Sm1 Sm 0.000 0.166 0.500
S1 S 0.244 0.000 0.756
S2 S 0.246 0.170 0.245
```



[3]
The following is a PBE calculation of a geometry-optimized Li2LaSnS4 structure, from Alexandria via LeMat-Bulk.

```
data_Li2LaSnS4
_space_group_name_H-M_alt 'I m m a'
_space_group_IT_number 74
_space_group_name_Hall '-I 2b 2'
_cell_length_a 7.699
_cell_length_b 8.092
_cell_length_c 11.146
_cell_angle_alpha 90.00
_cell_angle_beta 90.00
_cell_angle_gamma 90.00
loop_
_atom_site_label
_atom_site_type_symbol
_atom_site_fract_x
_atom_site_fract_y
_atom_site_fract_z
Li1 Li 0.000 0.000 0.000
Li2 Li 0.250 0.250 0.250
La1 La 0.000 0.000 0.500
Sn1 Sn 0.250 0.250 0.750
S1 S 0.000 0.005 0.758
S2 S 0.239 0.250 0.998
```



[4]
The following is a PBE calculation of a geometry-optimized LiLaSnS3 structure, from Alexandria via LeMat-Bulk.

```
data_LiLaSnS3
_space_group_name_H-M_alt 'P 1 21/m 1'
_space_group_IT_number 11
_cell_length_a 8.629
_cell_length_b 3.950
_cell_length_c 8.862
_cell_angle_alpha 90.00
_cell_angle_beta 96.38
_cell_angle_gamma 90.00
loop_
_space_group_symop_operation_xyz
'x,y,z'
'-x,-y,-z'
'-x,y+1/2,-z'
'x,-y+1/2,z'
loop_
_atom_site_label
_atom_site_type_symbol
_atom_site_fract_x
_atom_site_fract_y
_atom_site_fract_z
Li1 Li 0.105 0.250 0.086
La1 La 0.154 0.250 0.709
Sn1 Sn 0.352 0.750 0.336
S1 S 0.110 0.250 0.368
S2 S 0.180 0.750 0.949
S3 S 0.389 0.750 0.632
```



The records above yield formation energy from raw total energies values of -188.1; -175.0; -120.9; -130.3 kJ/mol of atoms, respectively.
The records above yield calculated total energy values of -6.048; -5.553; -4.911; -5.221 eV/atom, respectively.